Below is an optimized crystal structure of Li2TiCo3O8, with properties calculated at the PBE+U level.

## Properties
Calculated volume (Å³ per cell): 262.74
Magnetization (μB per formula unit): 0.91
Excess energy over the best structure of this formula in the dataset (eV/atom): 0.010

abc: 5.712 5.712 9.283
angles: 89.84 89.84 119.85
Last column: magnetic moment on the atom in μB.
Atoms (fractional coordinates):
1 Li 0.673 0.336 0.106  0.00
2 Li 0.997 0.000 0.002  0.00
3 Li 0.000 0.997 0.502  0.00
4 Li 0.336 0.673 0.606  0.00
5 Ti 0.657 0.323 0.505  0.02
6 Ti 0.323 0.657 0.005  0.02
7 Co 0.829 0.660 0.785  1.16
8 Co 0.340 0.170 0.785  -0.05
9 Co 0.830 0.171 0.785  -0.06
10 Co 0.171 0.830 0.285  -0.06
11 Co 0.660 0.829 0.285  1.16
12 Co 0.170 0.340 0.285  -0.05
13 O 0.831 0.670 0.399  0.01
14 O 0.522 0.485 0.667  -0.04
15 O 0.665 0.333 0.889  -0.05
16 O 0.001 0.001 0.692  -0.04
17 O 0.001 0.001 0.192  -0.04
18 O 0.333 0.167 0.402  -0.01
19 O 0.963 0.486 0.666  -0.03
20 O 0.522 0.042 0.663  0.00
21 O 0.161 0.832 0.900  0.00
22 O 0.832 0.161 0.400  0.00
23 O 0.486 0.963 0.166  -0.03
24 O 0.042 0.522 0.163  0.00
25 O 0.333 0.665 0.389  -0.05
26 O 0.670 0.831 0.899  0.01
27 O 0.485 0.522 0.167  -0.04
28 O 0.167 0.333 0.902  -0.01